GdInPdAu: optimized geometry, GGA-PBE.

Lattice parameters (Å, degrees): 4.9147 4.9147 4.9147 60.00 60.00 60.00
Each line ends with the local moment (μB).
Fractional coordinates of all 4 atoms:
Gd 0.2500 0.2500 0.2500  6.98
In 0.7500 0.7500 0.7500  0.00
Pd 0.0000 0.0000 0.0000  0.01
Au 0.5000 0.5000 0.5000  0.00

* V: 20.99 A^3/atom
* ΔH_f (0 K): -0.7177 eV/atom
* M_tot: 1.7726 μB per atom